No. 1
Here is a relaxed ZrAs crystal from the Alexandria database. Energies are from PBE.

a = 3.968 Å, b = 6.215 Å, c = 12.915 Å
α = 90.00°, β = 90.00°, γ = 90.00°
Atoms (fractional coordinates):
Zr1 0.000 0.990 0.867
Zr2 0.500 0.010 0.633
Zr3 0.500 0.010 0.367
Zr4 0.000 0.990 0.133
Zr5 0.000 0.628 0.500
Zr6 0.500 0.372 0.000
As1 0.000 0.755 0.696
As2 0.500 0.245 0.804
As3 0.500 0.245 0.196
As4 0.000 0.755 0.304
As5 0.000 0.662 0.000
As6 0.500 0.338 0.500

Values from the calculation:
Crystal system ... orthorhombic
E_tot ... -86.03 eV/cell
Energy relative to the elements ... -0.5704 eV per atom
Calculated volume ... 26.55 A^3/atom


No. 2
Here is a relaxed Dy5MgAg crystal from the Alexandria database. Energies are from PBE.

a = 6.427 Å, b = 6.427 Å, c = 11.647 Å
α = 74.23°, β = 74.23°, γ = 92.84°
Atoms (fractional coordinates):
Dy1 0.670 0.709 0.204
Dy2 0.258 0.613 0.517
Dy3 0.709 0.670 0.704
Dy4 0.146 0.854 0.250
Dy5 0.387 0.742 0.983
Dy6 0.613 0.258 0.017
Dy7 0.854 0.146 0.750
Dy8 0.291 0.330 0.296
Dy9 0.742 0.387 0.483
Dy10 0.330 0.291 0.796
Mg1 0.804 0.196 0.250
Mg2 0.196 0.804 0.750
Ag1 0.000 0.000 0.000
Ag2 0.000 0.000 0.500

Values from the calculation:
Crystal system ... monoclinic
E_tot ... -52.30 eV/cell
Energy relative to the elements ... 0.1869 eV per atom
Calculated volume ... 31.54 A^3/atom


No. 3
Here is a relaxed ZnTeMoN2 crystal from the Alexandria database. Energies are from PBE.

a = 3.918 Å, b = 3.918 Å, c = 5.757 Å
α = 90.00°, β = 90.00°, γ = 90.00°
Atoms (fractional coordinates):
Mo1 0.000 0.000 0.000
Te1 0.000 0.000 0.500
Zn1 0.500 0.500 0.500
N1 0.000 0.500 0.000
N2 0.500 0.000 0.000

Values from the calculation:
Crystal system ... tetragonal
E_tot ... -29.90 eV/cell
Energy relative to the elements, uncorrected ... 192 kJ/mol of formula units
Relative energy among the computed polymorphs ... 0.000 eV/atom
Calculated volume ... 17.68 A^3/atom